1.
Entry from Alexandria: a relaxed Fe2CoW crystal (PBEsol).

Summary:
* relative energy among the computed polymorphs: 149 meV per atom
* formation energy: 0.117 eV/atom

abc: 4.0778 4.0778 4.0778
angles: 60.00 60.00 60.00
Last column: magnetic moment on the atom in μB.
Fractional coordinates of all 4 atoms:
Co 0.5000 0.5000 0.5000  1.29
Fe 0.0000 0.0000 0.0000  1.82
Fe 0.2500 0.2500 0.2500  2.60
W 0.7500 0.7500 0.7500  -0.13

2.
Entry from Alexandria: a relaxed AsPb3 crystal (PBEsol).

Summary:
* relative energy among the computed polymorphs: 0 meV per atom
* formation energy: 0.043 eV/atom

abc: 3.8750 5.4640 6.1973
angles: 116.16 108.22 90.00
Fractional coordinates of all 4 atoms:
Pb 0.5000 0.5896 0.0000
Pb 0.2866 0.9095 0.5732
Pb 0.7134 0.3363 0.4268
As 0.0000 0.9979 0.0000

3.
Entry from Alexandria: a relaxed LaHf3Tc crystal (PBEsol).

Summary:
* formation energy: 0.259 eV/atom

abc: 5.0129 5.0129 5.0129
angles: 90.00 90.00 90.00
Fractional coordinates of all 5 atoms:
Hf 0.0000 0.5000 0.0000
Hf 0.0000 0.0000 0.5000
Hf 0.5000 0.0000 0.0000
Tc 0.0000 0.0000 0.0000
La 0.5000 0.5000 0.5000

4.
Entry from Alexandria: a relaxed Gd3SbO7 crystal (PBEsol).

Summary:
* uncorrected formation energy: -2947 meV per atom
* relative energy among the computed polymorphs: 16 meV per atom

abc: 7.4673 7.4807 10.6044
angles: 90.00 90.00 90.00
Last column: magnetic moment on the atom in μB.
Fractional coordinates of all 44 atoms:
Gd 0.7763 0.0075 0.2500  6.89
Gd 0.9642 0.2534 0.5212  6.89
Gd 0.9642 0.2534 0.9788  6.89
Gd 0.4642 0.2466 0.0212  6.89
Gd 0.4642 0.2466 0.4788  6.89
Gd 0.2763 0.4925 0.7500  6.89
Gd 0.7237 0.5075 0.2500  6.89
Gd 0.5358 0.7534 0.5212  6.89
Gd 0.5358 0.7534 0.9788  6.89
Gd 0.0358 0.7466 0.0212  6.89
Gd 0.0358 0.7466 0.4788  6.89
Gd 0.2237 0.9925 0.7500  6.89
Sb 0.7532 0.0012 0.7500  0.01
Sb 0.2532 0.4988 0.2500  0.01
Sb 0.7468 0.5012 0.7500  0.01
Sb 0.2468 0.9988 0.2500  0.01
O 0.0505 0.0342 0.1244  0.00
O 0.0505 0.0342 0.3756  0.00
O 0.5745 0.0376 0.6161  0.00
O 0.5745 0.0376 0.8839  0.00
O 0.3406 0.2476 0.2500  0.00
O 0.7317 0.2537 0.1172  0.01
O 0.7317 0.2537 0.3828  0.01
O 0.2317 0.2463 0.6172  0.01
O 0.2317 0.2463 0.8828  0.01
O 0.8406 0.2524 0.7500  0.00
O 0.0745 0.4624 0.1161  0.00
O 0.0745 0.4624 0.3839  0.00
O 0.5505 0.4658 0.6244  0.00
O 0.5505 0.4658 0.8756  0.00
O 0.4495 0.5342 0.1244  0.00
O 0.4495 0.5342 0.3756  0.00
O 0.9255 0.5376 0.6161  0.00
O 0.9255 0.5376 0.8839  0.00
O 0.1594 0.7476 0.2500  0.00
O 0.7683 0.7537 0.1172  0.01
O 0.7683 0.7537 0.3828  0.01
O 0.2683 0.7463 0.6172  0.01
O 0.2683 0.7463 0.8828  0.01
O 0.6594 0.7524 0.7500  0.00
O 0.4255 0.9624 0.1161  0.00
O 0.4255 0.9624 0.3839  0.00
O 0.9495 0.9658 0.6244  0.00
O 0.9495 0.9658 0.8756  0.00

no.,mass density (g/cm³)
1,12.3
2,10.5
3,10.2
4,7.9